1.
Crystalline SbPHCl2 at its relaxed geometry. Source: Alexandria via LeMat-Bulk, functional GGA-PBE.

Cell lengths 5.368, 5.368, 5.373 Å; angles 90.00, 90.00, 90.00 degrees
Sites, in units of the cell vectors:
Sb1 0.000 0.000 0.000
P1 0.000 0.000 0.500
H1 0.500 0.500 0.500
Cl1 0.000 0.500 0.000
Cl2 0.500 0.000 0.000

Output
Symmetry: P4/mmm (123)
Energy above the most stable polymorph in this dataset, eV/atom: 0.000


2.
Crystalline SbPHCl2 at its relaxed geometry. Source: Alexandria via LeMat-Bulk, functional GGA-PBE.

Cell lengths 4.737, 4.737, 5.556 Å; angles 90.00, 90.00, 90.00 degrees
Sites, in units of the cell vectors:
Sb1 0.000 0.000 0.000
P1 0.000 0.000 0.500
H1 0.500 0.500 0.000
Cl1 0.000 0.500 0.500
Cl2 0.500 0.000 0.500

Output
Symmetry: P4/mmm (123)
Energy above the most stable polymorph in this dataset, eV/atom: 0.041


3.
Crystalline ScP2HCl at its relaxed geometry. Source: Alexandria via LeMat-Bulk, functional GGA-PBE.

Cell lengths 3.710, 3.710, 5.219 Å; angles 90.00, 90.00, 90.00 degrees
Sites, in units of the cell vectors:
Sc1 0.000 0.000 0.000
P1 0.000 0.500 0.500
P2 0.500 0.000 0.500
H1 0.500 0.500 0.500
Cl1 0.500 0.500 0.000

Output
Symmetry: P4/mmm (123)
Energy above the most stable polymorph in this dataset, eV/atom: 0.000


no.,DOS at the Fermi energy (states/eV/cell)
1,1.0
2,1.9
3,0.6